CeMgRuPb: optimized geometry, PBE.

Lattice parameters (Å, degrees): 6.945 6.945 6.945 90.00 90.00 90.00
Fractional positions:
Ce  0.000  0.000  0.000
Ce  0.000  0.500  0.500
Ce  0.500  0.000  0.500
Ce  0.500  0.500  0.000
Mg  0.250  0.250  0.250
Mg  0.250  0.750  0.750
Mg  0.750  0.250  0.750
Mg  0.750  0.750  0.250
Ru  0.250  0.250  0.750
Ru  0.250  0.750  0.250
Ru  0.750  0.250  0.250
Ru  0.750  0.750  0.750
Pb  0.000  0.000  0.500
Pb  0.000  0.500  0.000
Pb  0.500  0.000  0.000
Pb  0.500  0.500  0.500

ρ ... 9.372 g/cm3
ΔH_f (0 K) ... -0.06 eV per atom
V ... 20.94 Å³ per atom
E ... -5.193 eV/atom
Space-group type ... F-43m, No. 216